A plane-wave DFT calculation with PBE with a Hubbard U was carried out for an optimized crystal structure of LiNiP4O12.

Cell: 8.504 8.504 7.566 Å, 96.64 96.64 113.16°
Fractional coordinates of all 36 atoms:
Li 0.143 0.857 0.500
Li 0.857 0.143 0.000
Ni 0.555 0.814 0.946
Ni 0.814 0.555 0.446
P 0.113 0.446 0.361
P 0.263 0.916 0.110
P 0.446 0.113 0.861
P 0.487 0.642 0.523
P 0.642 0.487 0.023
P 0.755 0.902 0.362
P 0.902 0.755 0.862
P 0.916 0.263 0.610
O 0.030 0.308 0.198
O 0.054 0.593 0.386
O 0.064 0.861 0.020
O 0.098 0.358 0.542
O 0.273 0.952 0.309
O 0.308 0.030 0.698
O 0.319 0.529 0.370
O 0.327 0.786 0.031
O 0.358 0.098 0.042
O 0.426 0.692 0.691
O 0.529 0.319 0.870
O 0.543 0.599 0.038
O 0.575 0.810 0.432
O 0.593 0.054 0.886
O 0.599 0.543 0.538
O 0.692 0.426 0.191
O 0.716 0.964 0.191
O 0.786 0.327 0.531
O 0.792 0.857 0.862
O 0.810 0.575 0.932
O 0.857 0.792 0.362
O 0.861 0.064 0.520
O 0.952 0.273 0.809
O 0.964 0.716 0.691

Properties
- space-group type = Cc (9)
- E above lowest polymorph (meV/atom) = 10